# Sm4BI5 PBE optimized geometry
data_Sm4BI5
_chemical_formula_sum 'Sm8 B2 I10'
_cell_length_a 19.295
_cell_length_b 4.144
_cell_length_c 8.841
_cell_angle_alpha 90.00
_cell_angle_beta 102.70
_cell_angle_gamma 90.00
_space_group_name_H-M_alt 'C 1 2/m 1'
_space_group_IT_number 12
loop_
_space_group_symop_operation_xyz
'x,y,z'
'-x,-y,-z'
'-x,y,-z'
'x,-y,z'
'x+1/2,y+1/2,z'
'-x+1/2,-y+1/2,-z'
'-x+1/2,y+1/2,-z'
'x+1/2,-y+1/2,z'
loop_
_atom_site_label
_atom_site_type_symbol
_atom_site_fract_x
_atom_site_fract_y
_atom_site_fract_z
Sm1 Sm 0.001 0.000 0.301
Sm2 Sm 0.138 0.500 0.570
B1 B 0.000 0.500 0.500
I1 I 0.000 0.500 0.000
I2 I 0.166 0.000 0.842
I3 I 0.172 0.000 0.324
# Theoretical density ... 6.004 g cm⁻³
# Volume ... 34.5 Å³/atom
# Total energy ... -4.4296 eV/atom
# Formation energy from raw total energies ... -1.10 eV per atom